Run i
An optimized crystal structure of TlWF2, computed with PBE+U.

Unit cell a=4.8993 b=4.8993 c=7.9986 alpha=72.17 beta=72.17 gamma=90.00
Last column: magnetic moment on the atom in μB.
Sites, in units of the cell vectors:
F1 0.4157 0.1250 0.2500  0.00
W1 0.5000 0.5000 0.0000  3.00
F2 0.3750 0.5843 0.7500  0.00
Tl1 0.7500 0.2500 0.5000  -0.06
F3 0.3343 0.6250 0.2500  0.00
W2 0.2500 0.7500 0.5000  3.00
Tl2 0.0000 0.0000 0.0000  -0.06
F4 0.8750 0.6657 0.7500  0.00

Properties
Fermi-level density of states = 0.33 states/eV/atom
V = 21.63 Å³ per atom


Run ii
An optimized crystal structure of TlWF2, computed with PBE+U.

Unit cell a=4.5671 b=4.5671 c=4.5671 alpha=60.00 beta=60.00 gamma=60.00
Sites, in units of the cell vectors:
W1 0.0000 0.0000 0.0000
Tl1 0.5000 0.5000 0.5000
F1 0.7500 0.7500 0.7500
F2 0.2500 0.2500 0.2500

Properties
Fermi-level density of states = 0.55 states/eV/atom
V = 16.84 Å³ per atom


It is run i that is most stable; the runner-up trails by 67.9 kJ/mol of atoms.


Run i
An optimized crystal structure of TlW3F, computed with PBE+U.

Unit cell a=4.4278 b=4.4278 c=4.4278 alpha=90.00 beta=90.00 gamma=90.00
Last column: magnetic moment on the atom in μB.
Sites, in units of the cell vectors:
Tl1 0.5000 0.5000 0.5000  0.00
W1 0.5000 0.0000 0.0000  -0.07
W2 0.0000 0.0000 0.5000  0.31
W3 0.0000 0.5000 0.0000  0.09
F1 0.0000 0.0000 0.0000  -0.03

Properties
Fermi-level density of states = 0.35 states/eV/atom
V = 17.36 Å³ per atom


Run ii
An optimized crystal structure of TlW3F, computed with PBE+U.

Unit cell a=5.4807 b=5.4807 c=5.4807 alpha=90.00 beta=90.00 gamma=90.00
Last column: magnetic moment on the atom in μB.
Sites, in units of the cell vectors:
W1 0.5000 0.0000 0.0000  3.12
W2 0.0000 0.0000 0.5000  3.50
W3 0.0000 0.5000 0.0000  3.31
Tl1 0.0000 0.0000 0.0000  -0.10
F1 0.5000 0.5000 0.5000  0.10

Properties
Fermi-level density of states = 0.37 states/eV/atom
V = 32.93 Å³ per atom


It is run i that is most stable; the runner-up trails by 71.3 kJ/mol of atoms.